(1)
VASP calculation (GGA-PBE) on a relaxed AcY3Rh8 crystal.

Lattice parameters (Å, degrees): 5.390 5.390 8.878 90.00 90.00 120.00
Fractional coordinates of all 12 atoms:
Rh1 0.166 0.332 0.244
Y1 0.667 0.333 0.064
Rh2 0.166 0.834 0.244
Y2 0.000 0.000 0.937
Ac1 0.000 0.000 0.568
Rh3 0.333 0.667 0.498
Rh4 0.502 0.498 0.757
Rh5 0.996 0.498 0.757
Rh6 0.502 0.004 0.757
Rh7 0.668 0.834 0.244
Rh8 0.333 0.667 0.001
Y3 0.667 0.333 0.426

Size of the total moment in μB/atom: 0.00
Electronic total energy in eV per atom: -7.498
Energy of formation in eV per atom: -0.639

=====

(2)
VASP calculation (GGA-PBE) on a relaxed AcNd2Ni crystal.

Lattice parameters (Å, degrees): 3.854 3.854 10.997 79.91 79.91 60.00
Fractional coordinates of all 4 atoms:
Nd1 0.885 0.885 0.346
Ac1 0.000 0.000 0.000
Nd2 0.115 0.115 0.654
Ni1 0.500 0.500 0.500

Size of the total moment in μB/atom: 0.00
Electronic total energy in eV per atom: -4.789
Energy of formation in eV per atom: 0.067
ΔE to the lowest computed polymorph in meV per atom: 222

=====

(3)
VASP calculation (GGA-PBE) on a relaxed TiHgPd6 crystal.

Lattice parameters (Å, degrees): 3.977 3.977 8.049 90.00 90.00 90.00
Fractional coordinates of all 8 atoms:
Pd1 0.000 0.500 0.265
Ti1 0.000 0.000 0.500
Pd2 0.500 0.500 0.500
Pd3 0.500 0.000 0.735
Pd4 0.000 0.500 0.735
Pd5 0.500 0.000 0.265
Pd6 0.500 0.500 0.000
Hg1 0.000 0.000 0.000

Size of the total moment in μB/atom: 0.00
Electronic total energy in eV per atom: -5.335
Energy of formation in eV per atom: -0.416

=====

(4)
VASP calculation (GGA-PBE) on a relaxed PmTmCd crystal.

Lattice parameters (Å, degrees): 3.511 3.465 14.392 96.91 90.01 90.00
Last column: magnetic moment on the atom in μB.
Fractional coordinates of all 6 atoms:
Tm1 0.561 0.414 0.828  0.04
Tm2 0.061 0.830 0.659  0.07
Pm1 0.559 0.566 0.132  0.00
Cd1 0.059 0.144 0.289  0.00
Cd2 0.060 0.986 0.973  0.00
Pm2 0.559 0.722 0.444  0.05

Size of the total moment in μB/atom: 0.04
Electronic total energy in eV per atom: -3.494
Energy of formation in eV per atom: -0.114
ΔE to the lowest computed polymorph in meV per atom: 77